Record 1
! GGA-PBE Ac2Ge4Pt3Pb, optimized geometry; values from VASP
! Space group: No. 115
&SYSTEM
  ibrav = 0, nat = 10, ntyp = 4
/
ATOMIC_SPECIES
Ac 227.00 Ac.upf
Ge 72.64 Ge.upf
Pt 195.08 Pt.upf
Pb 207.20 Pb.upf
CELL_PARAMETERS angstrom
4.5697 0.0000 0.0000
0.0000 4.5697 0.0000
0.0000 0.0000 10.6071
ATOMIC_POSITIONS angstrom
Ac 0.0000 2.2849 2.4982
Ac 2.2849 0.0000 8.1089
Ge 0.0000 0.0000 0.0000
Ge 0.0000 2.2849 6.9071
Ge 2.2849 0.0000 3.7000
Ge 2.2849 2.2849 0.0000
Pt 0.0000 2.2849 9.3942
Pt 2.2849 0.0000 1.2128
Pt 2.2849 2.2849 5.3035
Pb 0.0000 0.0000 5.3035

Record 2
! GGA-PBE AcPuGePb, optimized geometry; values from VASP
! Space group: No. 216
&SYSTEM
  ibrav = 0, nat = 16, ntyp = 4
/
ATOMIC_SPECIES
Ac 227.00 Ac.upf
Pu 244.00 Pu.upf
Ge 72.64 Ge.upf
Pb 207.20 Pb.upf
CELL_PARAMETERS angstrom
7.8048 0.0000 0.0000
0.0000 7.8048 0.0000
0.0000 0.0000 7.8048
ATOMIC_POSITIONS angstrom
Ac 0.0000 0.0000 0.0000
Ac 0.0000 3.9024 3.9024
Ac 3.9024 0.0000 3.9024
Ac 3.9024 3.9024 0.0000
Pu 0.0000 0.0000 3.9024
Pu 0.0000 3.9024 0.0000
Pu 3.9024 0.0000 0.0000
Pu 3.9024 3.9024 3.9024
Ge 1.9512 1.9512 1.9512
Ge 1.9512 5.8536 5.8536
Ge 5.8536 1.9512 5.8536
Ge 5.8536 5.8536 1.9512
Pb 1.9512 1.9512 5.8536
Pb 1.9512 5.8536 1.9512
Pb 5.8536 1.9512 1.9512
Pb 5.8536 5.8536 5.8536

Record 3
! GGA-PBE Ac2Ge3Rh4Pb, optimized geometry; values from VASP
! Space group: No. 115
&SYSTEM
  ibrav = 0, nat = 10, ntyp = 4
/
ATOMIC_SPECIES
Ac 227.00 Ac.upf
Ge 72.64 Ge.upf
Rh 102.91 Rh.upf
Pb 207.20 Pb.upf
CELL_PARAMETERS angstrom
4.3741 0.0000 0.0000
0.0000 4.3741 0.0000
0.0000 0.0000 10.8941
ATOMIC_POSITIONS angstrom
Ac 0.0000 2.1870 2.6588
Ac 2.1870 0.0000 8.2353
Ge 0.0000 2.1870 9.6102
Ge 2.1870 0.0000 1.2839
Ge 2.1870 2.1870 5.4471
Rh 0.0000 0.0000 0.0000
Rh 0.0000 2.1870 7.1316
Rh 2.1870 0.0000 3.7626
Rh 2.1870 2.1870 0.0000
Pb 0.0000 0.0000 5.4471

One value per record, in order, for D(E_F): 3.936 51.120 7.539 states/eV per cell.
One value per record, in order, for calculated formation energy: -755 -241 -721 meV/atom.
One value per record, in order, for ρ: 11.52 10.49 10.28 Mg/m³.